Entry 1:
Material: CsPCl2O
Method: DFT, PBE-GGA
State: optimized geometry

For the formation energy (no corrections), the calculation gives 0.988 eV per atom. The volume is 42.59 A^3/atom. The calculation puts the energy at -1.995 eV per atom. As for the relative energy among the computed polymorphs: 8.01 eV per formula unit.

The structure belongs to space group P4/mmm (No. 123); the cell edges are 5.838, 5.838 and 6.248 Å and the angles 90.00°, 90.00° and 90.00°. Symmetry generates all atoms from Cs at (0.000, 0.000, 0.000), P at (0.000, 0.000, 0.500), Cl at (0.000, 0.500, 0.000) and O at (0.500, 0.500, 0.500).

Entry 2:
Material: Pa2Ga5Cu
Method: DFT, PBE-GGA
State: optimized geometry

The volume is 19.53 A^3/atom. The energy relative to the elements is -0.26 eV/atom. The calculation puts the energy at -5.036 eV per atom.

The structure belongs to space group I4mm (No. 107); the cell edges are 6.005, 6.005 and 8.667 Å and the angles 90.00°, 90.00° and 90.00°. Symmetry generates all atoms from Pa at (0.000, 0.500, 0.000), Ga at (0.000, 0.000, 0.002), Ga at (0.250, 0.250, 0.250) and Cu at (0.000, 0.000, 0.547).